{
  "formula": "MnCuP2N",
  "functional": "PBEsol",
  "state": "relaxed",
  "lattice": [[3.730, 0.000, 0.000], [0.000, 4.053, 0.000], [0.000, 0.000, 4.053]],
  "species": ["P", "P", "Mn", "Cu", "N"],
  "fractional_positions": [[0.000, 0.000, 0.500], [0.000, 0.500, 0.000], [0.500, 0.000, 0.000], [0.500, 0.500, 0.500], [0.000, 0.000, 0.000]],
  "m_tot_mub_per_cell": 3.1,
  "formation_energy_uncorrected_ev_per_atom": 0.53,
  "final_energy_ev_per_atom": -6.315
}